# 1
Compound: Sm4Mg3Ni
Source: Alexandria
Functional: GGA-PBE
Structure: optimized geometry

```
8
Lattice="-1.262 -2.591 -2.265 3.264 -0.138 -1.661 4.658 -11.073 10.072" Properties=species:S:1:pos:R:3 pbc="T T T"
Sm 0.478 -1.136 1.034
Sm 2.936 -6.978 6.348
Sm 4.180 -9.936 9.038
Sm 1.722 -4.094 3.724
Mg 4.544 -9.787 5.698
Mg 3.330 -6.901 3.073
Mg 2.116 -4.014 0.447
Ni 1.001 -1.365 -1.963
```

Properties
total moment	0.000	μB/atom
Fermi-level density of states	7.3	states/eV per cell
ΔE_f	-0.1320	eV/atom



# 2
Compound: MnSbH3
Source: Alexandria
Functional: GGA-PBE
Structure: optimized geometry

```
5
Lattice="3.590 0.000 0.000 0.000 3.590 0.000 0.000 0.000 3.590" Properties=species:S:1:pos:R:3 pbc="T T T"
H 0.000 0.000 1.795
H 0.000 1.795 0.000
H 1.795 0.000 0.000
Sb 1.795 1.795 1.795
Mn 0.000 0.000 0.000
```

Properties
total moment	0.421	μB/atom
Fermi-level density of states	2.9	states/eV per cell
total energy	-4.27	eV/atom



# 3
Compound: CsZnRe2Cl
Source: Alexandria
Functional: GGA-PBE
Structure: optimized geometry

```
5
Lattice="5.753 0.000 0.000 0.000 6.405 0.000 0.000 0.000 5.753" Properties=species:S:1:pos:R:3 pbc="T T T"
Cs 0.000 0.000 0.000
Re 0.000 0.000 2.877
Re 2.877 0.000 0.000
Cl 2.877 3.203 2.877
Zn 0.000 3.203 0.000
```

Properties
formation energy without anion corrections	3131	meV/atom
total moment	1.744	μB/atom
Fermi-level density of states	4.7	states/eV per cell



# 4
Compound: ZnIn3
Source: Alexandria
Functional: GGA-PBE
Structure: optimized geometry

```
4
Lattice="-0.074 1.918 -9.476 -3.472 1.962 -8.807 -1.560 4.796 -8.248" Properties=species:S:1:pos:R:3 pbc="T T T"
Zn 0.000 0.000 0.000
In -2.553 4.339 -13.266
In -3.789 6.438 -19.686
In -1.317 2.239 -6.845
```

Properties
total moment	0.000	μB/atom
Fermi-level density of states	1.4	states/eV per cell
ΔE_f	0.0600	eV/atom



# 5
Compound: Na3Np2PdS6
Source: Alexandria
Functional: GGA-PBE
Structure: optimized geometry

```
12
Lattice="6.700 0.003 0.004 -3.346 5.805 0.004 -1.115 -1.930 6.688" Properties=species:S:1:pos:R:3 pbc="T T T"
Np 3.356 1.934 0.004
Np -0.002 3.874 0.004
S -0.044 3.875 5.188
S 0.025 0.044 5.190
S 3.378 1.899 5.188
S -1.139 1.978 1.508
S 2.283 0.002 1.508
S 2.214 3.833 1.505
Na 4.524 -0.028 3.348
Na 1.120 1.939 3.348
Na -2.285 3.905 3.348
Pd 0.000 0.000 0.000
```

Properties
formation energy without anion corrections	-1126	meV/atom
total moment	0.408	μB/atom
Fermi-level density of states	22.0	states/eV per cell



# 6
Compound: ThTi2Cd
Source: Alexandria
Functional: GGA-PBE
Structure: optimized geometry

```
4
Lattice="3.496 0.000 0.000 0.000 3.496 0.000 0.000 0.000 6.956" Properties=species:S:1:pos:R:3 pbc="T T T"
Ti 0.000 0.000 1.709
Ti 0.000 0.000 5.247
Th 1.748 1.748 3.478
Cd 1.748 1.748 0.000
```

Properties
total moment	0.000	μB/atom
Fermi-level density of states	5.0	states/eV per cell
ΔE_f	0.1477	eV/atom



# 7
Compound: Ti2S3O
Source: Alexandria
Functional: GGA-PBE
Structure: optimized geometry

```
12
Lattice="-2.972 -0.576 -1.586 -4.825 -0.294 5.464 -3.860 7.751 0.738" Properties=species:S:1:pos:R:3 pbc="T T T"
S -2.548 -0.286 1.196
S -8.690 4.099 3.749
S -3.790 5.826 1.306
S -9.109 7.167 3.420
S -7.866 1.056 3.310
S -2.967 2.783 0.867
Ti -6.491 2.977 3.717
Ti -3.659 1.277 2.711
Ti -7.997 5.604 1.905
Ti -5.166 3.904 0.899
O -5.493 2.271 2.105
O -6.163 4.611 2.511
```

Properties
formation energy without anion corrections	-1594	meV/atom
total moment	0.000	μB/atom



# 8
Compound: ReNiAu2
Source: Alexandria
Functional: GGA-PBE
Structure: optimized geometry

```
4
Lattice="2.739 0.000 0.000 0.000 3.645 0.000 0.000 0.000 6.308" Properties=species:S:1:pos:R:3 pbc="T T T"
Au 1.369 1.822 1.734
Au 0.000 0.000 6.187
Re 1.369 1.822 4.483
Ni 0.000 0.000 3.366
```

Properties
total moment	0.000	μB/atom
Fermi-level density of states	2.2	states/eV per cell
ΔE_f	0.3050	eV/atom



# 9
Compound: Sr6Ag3Ir
Source: Alexandria
Functional: GGA-PBE
Structure: optimized geometry

```
20
Lattice="7.662 0.000 0.224 0.000 8.515 0.000 0.234 0.000 11.254" Properties=species:S:1:pos:R:3 pbc="T T T"
Ir 0.000 0.000 0.000
Ir 3.948 4.257 5.739
Ag 4.417 7.564 8.629
Ag 0.469 5.208 2.890
Ag 7.427 3.307 8.589
Ag 3.479 0.951 2.850
Ag 3.831 4.257 0.112
Ag 0.117 0.000 5.627
Sr 1.186 2.589 0.805
Sr 6.395 5.685 6.484
Sr 5.449 1.427 10.734
Sr 1.501 2.830 4.995
Sr 5.042 3.864 3.062
Sr 5.134 1.669 6.545
Sr 6.710 5.926 10.673
Sr 2.762 6.846 4.934
Sr 2.447 7.087 0.745
Sr 6.568 8.122 2.902
Sr 1.328 0.393 8.577
Sr 2.854 4.650 8.417
```

Properties
total moment	0.000	μB/atom
Fermi-level density of states	11.1	states/eV per cell
ΔE_f	-0.2116	eV/atom



# 10
Compound: Ho8Er4Tm3
Source: Alexandria
Functional: GGA-PBE
Structure: optimized geometry

```
15
Lattice="6.641 -0.093 -0.133 -3.187 8.518 1.109 -3.187 -1.917 8.374" Properties=species:S:1:pos:R:3 pbc="T T T"
Er -1.594 4.259 0.555
Er 0.000 0.000 0.000
Er 3.320 -0.046 -0.067
Er -1.594 -0.959 4.187
Ho 0.133 5.850 2.868
Ho -3.187 4.770 3.719
Ho -1.674 1.766 2.537
Ho 1.787 1.710 2.457
Ho -3.187 1.831 5.764
Ho 1.940 4.742 6.812
Ho -1.521 4.798 6.893
Ho 0.133 0.659 6.482
Tm 0.133 3.254 4.675
Tm 1.727 4.213 0.488
Tm 1.727 -1.005 4.120
```

Properties
total moment	0.000	μB/atom
Fermi-level density of states	28.7	states/eV per cell
ΔE_f	0.4136	eV/atom



# 11
Compound: Ti5ReNi4
Source: Alexandria
Functional: GGA-PBE
Structure: optimized geometry

```
10
Lattice="3.098 0.000 0.000 0.000 3.098 0.000 0.000 0.000 14.581" Properties=species:S:1:pos:R:3 pbc="T T T"
Ti 1.549 1.549 10.137
Ti 1.549 1.549 13.075
Ti 1.549 1.549 1.507
Ti 1.549 1.549 7.291
Ti 1.549 1.549 4.445
Ni 0.000 0.000 8.741
Ni 0.000 0.000 5.840
Ni 0.000 0.000 3.020
Ni 0.000 0.000 11.561
Re 0.000 0.000 0.000
```

Properties
total moment	0.000	μB/atom
Fermi-level density of states	11.6	states/eV per cell
ΔE_f	-0.3805	eV/atom



# 12
Compound: SmSnIrPd
Source: Alexandria
Functional: GGA-PBE
Structure: optimized geometry

```
4
Lattice="4.820 0.000 0.000 2.410 4.174 0.000 2.410 1.391 3.936" Properties=species:S:1:pos:R:3 pbc="T T T"
Pd 7.230 4.174 2.952
Ir 2.410 1.391 0.984
Sm 4.820 2.783 1.968
Sn 0.000 0.000 0.000
```

Properties
total moment	0.000	μB/atom
Fermi-level density of states	3.0	states/eV per cell
ΔE_f	-0.6065	eV/atom